<a>
InGaPt2Pb: optimized geometry, GGA-PBE.

The space group is P4/mmm (No. 123) and the conventional cell measures 5.171, 5.171 and 5.625 Å, with angles of 90.00, 90.00 and 90.00 degrees. The asymmetric unit holds In at (0.000, 0.000, 0.000), Ga at (0.500, 0.500, 0.000), Pt at (0.000, 0.500, 0.500) and Pb at (0.000, 0.000, 0.500).

The total magnetization is 0.00 μB/f.u.

=====

<b>
InGaPt2Pb: optimized geometry, GGA-PBE.

The space group is P4/mmm (No. 123) and the conventional cell measures 5.086, 5.086 and 4.986 Å, with angles of 90.00, 90.00 and 90.00 degrees. The asymmetric unit holds In at (0.000, 0.000, 0.000), Ga at (0.000, 0.000, 0.500), Pt at (0.000, 0.500, 0.000) and Pb at (0.500, 0.500, 0.500).

The total magnetization is 0.00 μB/f.u.

=====

Which one sits at the bottom of the stability order? <a> does.

=====

<a>
InGa3Pd: optimized geometry, GGA-PBE.

The space group is Pm-3m (No. 221) and the conventional cell measures 4.878, 4.878 and 4.878 Å, with angles of 90.00, 90.00 and 90.00 degrees. The asymmetric unit holds In at (0.000, 0.000, 0.000), Ga at (0.000, 0.500, 0.500) and Pd at (0.500, 0.500, 0.500).

The total magnetization is 0.00 μB/f.u.

=====

<b>
InGa3Pd: optimized geometry, GGA-PBE.

The space group is P2_1 (No. 4) and the conventional cell measures 6.575, 3.751 and 8.257 Å, with angles of 90.00, 110.83 and 90.00 degrees. The asymmetric unit holds In at (0.151, 0.000, 0.158), Ga at (0.081, 0.998, 0.648), Ga at (0.330, 0.498, 0.904), Ga at (0.346, 0.499, 0.511) and Pd at (0.499, 0.000, 0.748).

The total magnetization is 0.00 μB/f.u.

=====

<c>
InGa3Pd: optimized geometry, GGA-PBE.

The space group is Cmcm (No. 63) and the conventional cell measures 6.438, 11.176 and 5.635 Å, with angles of 90.00, 90.00 and 90.00 degrees. The asymmetric unit holds In at (0.000, 0.167, 0.250), Ga at (0.000, 0.307, 0.750), Ga at (0.209, 0.097, 0.750) and Pd at (0.000, 0.500, 0.000).

The total magnetization is 0.00 μB/f.u.

=====

Which one sits at the bottom of the stability order? <a> does.

=====

<a>
InGa2Pd2: optimized geometry, GGA-PBE.

The space group is P-3m1 (No. 164) and the conventional cell measures 4.5487, 4.5487 and 5.1494 Å, with angles of 90.00, 90.00 and 120.00 degrees. The asymmetric unit holds In at (0.0000, 0.0000, 0.0000), Ga at (0.3333, 0.6667, 0.6422) and Pd at (0.3333, 0.6667, 0.1532).

The total magnetization is 0.00 μB/f.u.

=====

<b>
InGa2Pd2: optimized geometry, GGA-PBE.

The space group is P4/mbm (No. 127) and the conventional cell measures 7.753, 7.753 and 2.869 Å, with angles of 90.00, 90.00 and 90.00 degrees. The asymmetric unit holds In at (0.000, 0.000, 0.000), Ga at (0.124, 0.376, 0.000) and Pd at (0.172, 0.672, 0.500).

The total magnetization is 0.00 μB/f.u.

=====

Which one sits at the bottom of the stability order? <b> does.

=====

<a>
InGaPd6: optimized geometry, GGA-PBE.

The space group is C2/m (No. 12) and the conventional cell measures 7.743, 5.460 and 7.264 Å, with angles of 90.00, 111.53 and 90.00 degrees. The asymmetric unit holds In at (0.000, 0.000, 0.000), Ga at (0.000, 0.500, 0.500), Pd at (0.153, 0.000, 0.441) and Pd at (0.185, 0.243, 0.793).

The total magnetization is 0.00 μB/f.u.

=====

<b>
InGaPd6: optimized geometry, GGA-PBE.

The space group is P4/mmm (No. 123) and the conventional cell measures 3.996, 3.996 and 7.897 Å, with angles of 90.00, 90.00 and 90.00 degrees. The asymmetric unit holds In at (0.000, 0.000, 0.000), Ga at (0.000, 0.000, 0.500), Pd at (0.000, 0.500, 0.260), Pd at (0.500, 0.500, 0.000) and Pd at (0.500, 0.500, 0.500).

The total magnetization is 0.00 μB/f.u.

=====

Which one sits at the bottom of the stability order? <a> does.

=====

<a>
In3GaPd: optimized geometry, GGA-PBE.

The space group is C2/m (No. 12) and the conventional cell measures 10.400, 8.701 and 6.474 Å, with angles of 90.00, 126.84 and 90.00 degrees. The asymmetric unit holds In at (0.050, 0.000, 0.302), In at (0.202, 0.303, 0.180), Ga at (0.063, 0.500, 0.357) and Pd at (0.237, 0.500, 0.857).

The total magnetization is 0.00 μB/f.u.

=====

<b>
In3GaPd: optimized geometry, GGA-PBE.

The space group is Pm-3m (No. 221) and the conventional cell measures 5.177, 5.177 and 5.177 Å, with angles of 90.00, 90.00 and 90.00 degrees. The asymmetric unit holds In at (0.000, 0.000, 0.500), Ga at (0.500, 0.500, 0.500) and Pd at (0.000, 0.000, 0.000).

The total magnetization is 0.00 μB/f.u.

=====

Which one sits at the bottom of the stability order? <b> does.

=====

<a>
In2GaPd2: optimized geometry, GGA-PBE.

The space group is P4/mbm (No. 127) and the conventional cell measures 6.956, 6.956 and 3.907 Å, with angles of 90.00, 90.00 and 90.00 degrees. The asymmetric unit holds In at (0.155, 0.345, 0.000), Ga at (0.000, 0.000, 0.500) and Pd at (0.151, 0.651, 0.500).

The total magnetization is 0.00 μB/f.u.

=====

<b>
In2GaPd2: optimized geometry, GGA-PBE.

The space group is P4/mbm (No. 127) and the conventional cell measures 8.027, 8.027 and 3.038 Å, with angles of 90.00, 90.00 and 90.00 degrees. The asymmetric unit holds In at (0.157, 0.343, 0.000), Ga at (0.000, 0.000, 0.000) and Pd at (0.139, 0.639, 0.500).

The total magnetization is 0.00 μB/f.u.

=====

<c>
In2GaPd2: optimized geometry, GGA-PBE.

The space group is I4/mmm (No. 139) and the conventional cell measures 4.188, 4.188 and 12.339 Å, with angles of 90.00, 90.00 and 90.00 degrees. The asymmetric unit holds In at (0.000, 0.500, 0.250), Ga at (0.000, 0.000, 0.000) and Pd at (0.000, 0.000, 0.393).

The total magnetization is 0.00 μB/f.u.

=====

Which one sits at the bottom of the stability order? <c> does.

=====

<a>
In3GaPd6: optimized geometry, GGA-PBE.

The space group is P2_1/m (No. 11) and the conventional cell measures 7.762, 4.635 and 9.917 Å, with angles of 90.00, 109.47 and 90.00 degrees. The asymmetric unit holds In at (0.024, 0.250, 0.382), In at (0.130, 0.750, 0.212), In at (0.287, 0.250, 0.987), Ga at (0.452, 0.250, 0.595), Pd at (0.039, 0.750, 0.920), Pd at (0.173, 0.250, 0.677), Pd at (0.269, 0.750, 0.505), Pd at (0.350, 0.750, 0.820), Pd at (0.352, 0.250, 0.314) and Pd at (0.430, 0.750, 0.134).

The total magnetization is 0.00 μB/f.u.

=====

<b>
In3GaPd6: optimized geometry, GGA-PBE.

The space group is Cmc2_1 (No. 36) and the conventional cell measures 10.898, 12.753 and 5.195 Å, with angles of 90.00, 90.00 and 90.00 degrees. The asymmetric unit holds In at (0.000, 0.103, 0.000), In at (0.205, 0.425, 0.403), Ga at (0.000, 0.328, 0.892), Pd at (0.000, 0.286, 0.423), Pd at (0.000, 0.497, 0.151), Pd at (0.131, 0.085, 0.484) and Pd at (0.194, 0.250, 0.075).

The total magnetization is 0.00 μB/f.u.

=====

Which one sits at the bottom of the stability order? <b> does.

=====

<a>
In2Ga2Pd: optimized geometry, GGA-PBE.

The space group is P4/mbm (No. 127) and the conventional cell measures 6.653, 6.653 and 4.742 Å, with angles of 90.00, 90.00 and 90.00 degrees. The asymmetric unit holds In at (0.178, 0.322, 0.000), Ga at (0.141, 0.641, 0.500) and Pd at (0.000, 0.000, 0.500).

The total magnetization is 0.00 μB/f.u.

=====

<b>
In2Ga2Pd: optimized geometry, GGA-PBE.

The space group is P4/mbm (No. 127) and the conventional cell measures 7.165, 7.165 and 4.301 Å, with angles of 90.00, 90.00 and 90.00 degrees. The asymmetric unit holds In at (0.154, 0.346, 0.000), Ga at (0.158, 0.658, 0.500) and Pd at (0.000, 0.000, 0.000).

The total magnetization is 0.00 μB/f.u.

=====

Which one sits at the bottom of the stability order? <b> does.

=====

<a>
In3GaPd3: optimized geometry, GGA-PBE.

The space group is R3m (No. 160, hexagonal axes) and the conventional cell measures 9.0650, 9.0650 and 5.7318 Å, with angles of 90.00, 90.00 and 120.00 degrees. The asymmetric unit holds In at (0.9998, 0.4999, 0.0000), Ga at (0.0000, 0.0000, 0.0011) and Pd at (0.0000, 0.5000, 0.5001).

The total magnetization is 0.00 μB/f.u.

=====

<b>
In3GaPd3: optimized geometry, GGA-PBE.

The space group is C2/m (No. 12) and the conventional cell measures 7.252, 10.068 and 7.432 Å, with angles of 90.00, 92.83 and 90.00 degrees. The asymmetric unit holds In at (0.000, 0.164, 0.000), In at (0.000, 0.240, 0.500), In at (0.141, 0.500, 0.857), Ga at (0.199, 0.500, 0.470), Pd at (0.026, 0.000, 0.306) and Pd at (0.190, 0.348, 0.200).

The total magnetization is 0.00 μB/f.u.

=====

Which one sits at the bottom of the stability order? <b> does.

=====

<a>
ZnInGaPd: optimized geometry, GGA-PBE.

The space group is P1 (No. 1) and the conventional cell measures 3.001, 4.728 and 5.741 Å, with angles of 68.31, 75.24 and 89.69 degrees. The asymmetric unit holds Zn at (0.000, 0.000, 0.000), In at (0.777, 0.228, 0.458), Ga at (0.569, 0.557, 0.876) and Pd at (0.292, 0.738, 0.426).

The total magnetization is 0.00 μB/f.u.

=====

<b>
ZnInGaPd: optimized geometry, GGA-PBE.

The space group is Pm (No. 6) and the conventional cell measures 3.492, 3.036 and 7.179 Å, with angles of 90.00, 103.99 and 90.00 degrees. The asymmetric unit holds Zn at (0.000, 0.000, 0.000), In at (0.835, 0.500, 0.659), Ga at (0.609, 0.500, 0.210) and Pd at (0.210, 0.000, 0.408).

The total magnetization is 0.00 μB/f.u.

=====

Which one sits at the bottom of the stability order? <a> does.